Record 1
A relaxed Ho2MgRu crystal. Source: the Alexandria database, functional GGA-PBE.

extended XYZ file:
```
16
Lattice="7.070 0.000 0.000 0.000 7.070 0.000 0.000 0.000 7.070" Properties=species:S:1:pos:R:3 pbc="T T T"
Ho 1.767 1.767 1.767
Ho 1.767 1.767 5.302
Ho 1.767 5.302 1.767
Ho 1.767 5.302 5.302
Ho 5.302 1.767 1.767
Ho 5.302 1.767 5.302
Ho 5.302 5.302 1.767
Ho 5.302 5.302 5.302
Mg 0.000 0.000 0.000
Mg 0.000 3.535 3.535
Mg 3.535 0.000 3.535
Mg 3.535 3.535 0.000
Ru 0.000 0.000 3.535
Ru 0.000 3.535 0.000
Ru 3.535 0.000 0.000
Ru 3.535 3.535 3.535
```

- D(E_F) (states/eV per cell) = 13.5


Record 2
A relaxed Ho5Mg4Ru4 crystal. Source: the Alexandria database, functional GGA-PBE.

extended XYZ file:
```
13
Lattice="-5.721 5.721 2.102 5.721 -5.721 2.102 5.721 5.721 -2.102" Properties=species:S:1:pos:R:3 pbc="T T T"
Ho 0.000 0.000 0.000
Ho 4.239 3.386 0.000
Ho 2.334 -1.482 2.102
Ho 3.386 7.202 0.000
Ho 1.482 2.334 2.102
Mg 6.698 1.261 0.000
Mg 1.261 4.744 0.000
Mg 4.460 0.977 2.102
Mg -0.977 4.460 2.102
Ru 2.721 0.697 0.000
Ru 5.024 -3.000 2.102
Ru 0.697 8.720 0.000
Ru 3.000 5.024 2.102
```

- D(E_F) (states/eV per cell) = 6.6


Record 3
A relaxed HoMgScRu crystal. Source: the Alexandria database, functional GGA-PBE.

extended XYZ file:
```
4
Lattice="3.350 0.000 0.000 0.000 3.350 0.000 0.000 0.000 7.794" Properties=species:S:1:pos:R:3 pbc="T T T"
Ho 0.000 0.000 0.000
Mg 1.675 1.675 2.465
Sc 0.000 0.000 4.634
Ru 1.675 1.675 6.080
```

- D(E_F) (states/eV per cell) = 2.7


Record 4
A relaxed HoMgScRu crystal. Source: the Alexandria database, functional GGA-PBE.

extended XYZ file:
```
16
Lattice="6.889 0.000 0.000 0.000 6.889 0.000 0.000 0.000 6.889" Properties=species:S:1:pos:R:3 pbc="T T T"
Ho 0.000 0.000 0.000
Ho 0.000 3.445 3.445
Ho 3.445 0.000 3.445
Ho 3.445 3.445 0.000
Mg 1.722 1.722 1.722
Mg 1.722 5.167 5.167
Mg 5.167 1.722 5.167
Mg 5.167 5.167 1.722
Sc 0.000 0.000 3.445
Sc 0.000 3.445 0.000
Sc 3.445 0.000 0.000
Sc 3.445 3.445 3.445
Ru 1.722 1.722 5.167
Ru 1.722 5.167 1.722
Ru 5.167 1.722 1.722
Ru 5.167 5.167 5.167
```

- D(E_F) (states/eV per cell) = 15.1


Record 5
A relaxed HoMgSnRu crystal. Source: the Alexandria database, functional GGA-PBE.

extended XYZ file:
```
16
Lattice="6.794 0.000 0.000 0.000 6.794 0.000 0.000 0.000 6.794" Properties=species:S:1:pos:R:3 pbc="T T T"
Ho 0.000 0.000 0.000
Ho 0.000 3.397 3.397
Ho 3.397 0.000 3.397
Ho 3.397 3.397 0.000
Mg 1.699 1.699 1.699
Mg 1.699 5.096 5.096
Mg 5.096 1.699 5.096
Mg 5.096 5.096 1.699
Sn 0.000 0.000 3.397
Sn 0.000 3.397 0.000
Sn 3.397 0.000 0.000
Sn 3.397 3.397 3.397
Ru 1.699 1.699 5.096
Ru 1.699 5.096 1.699
Ru 5.096 1.699 1.699
Ru 5.096 5.096 5.096
```

- D(E_F) (states/eV per cell) = 18.5


Record 6
A relaxed HoMgTlRu crystal. Source: the Alexandria database, functional GGA-PBE.

extended XYZ file:
```
16
Lattice="6.922 0.000 0.000 0.000 6.922 0.000 0.000 0.000 6.922" Properties=species:S:1:pos:R:3 pbc="T T T"
Ho 0.000 0.000 0.000
Ho 0.000 3.461 3.461
Ho 3.461 0.000 3.461
Ho 3.461 3.461 0.000
Mg 0.000 0.000 3.461
Mg 0.000 3.461 0.000
Mg 3.461 0.000 0.000
Mg 3.461 3.461 3.461
Tl 1.730 1.730 5.191
Tl 1.730 5.191 1.730
Tl 5.191 1.730 1.730
Tl 5.191 5.191 5.191
Ru 1.730 1.730 1.730
Ru 1.730 5.191 5.191
Ru 5.191 1.730 5.191
Ru 5.191 5.191 1.730
```

- D(E_F) (states/eV per cell) = 13.7


Record 7
A relaxed Ho2MgU2Ru5 crystal. Source: the Alexandria database, functional GGA-PBE.

extended XYZ file:
```
20
Lattice="10.818 0.000 0.000 0.000 10.818 0.000 0.000 0.000 3.300" Properties=species:S:1:pos:R:3 pbc="T T T"
Ho 1.735 3.674 0.000
Ho 3.674 9.083 0.000
Ho 7.145 1.735 0.000
Ho 9.083 7.145 0.000
Mg 0.000 0.000 0.000
Mg 5.409 5.409 0.000
U 1.643 7.053 0.000
U 3.766 1.643 0.000
U 7.053 9.175 0.000
U 9.175 3.766 0.000
Ru 0.000 5.409 1.650
Ru 0.584 8.600 1.650
Ru 2.219 0.584 1.650
Ru 3.191 5.993 1.650
Ru 4.825 3.191 1.650
Ru 5.409 0.000 1.650
Ru 5.993 7.628 1.650
Ru 7.628 4.825 1.650
Ru 8.600 10.235 1.650
Ru 10.235 2.219 1.650
```

- D(E_F) (states/eV per cell) = 16.8


Record 8
A relaxed HoMgZnRu crystal. Source: the Alexandria database, functional GGA-PBE.

extended XYZ file:
```
16
Lattice="6.675 0.000 0.000 0.000 6.675 0.000 0.000 0.000 6.675" Properties=species:S:1:pos:R:3 pbc="T T T"
Ho 0.000 0.000 0.000
Ho 0.000 3.338 3.338
Ho 3.338 0.000 3.338
Ho 3.338 3.338 0.000
Mg 0.000 0.000 3.338
Mg 0.000 3.338 0.000
Mg 3.338 0.000 0.000
Mg 3.338 3.338 3.338
Zn 1.669 1.669 5.006
Zn 1.669 5.006 1.669
Zn 5.006 1.669 1.669
Zn 5.006 5.006 5.006
Ru 1.669 1.669 1.669
Ru 1.669 5.006 5.006
Ru 5.006 1.669 5.006
Ru 5.006 5.006 1.669
```

- D(E_F) (states/eV per cell) = 13.8


Calculated uncorrected energy in order - -0.192 -0.198 -0.213 -0.209 -0.188 -0.165 -0.300 -0.160 Ha/atom
Calculated total magnetization in order - 0.0 0.0 0.0 0.0 0.0 0.0 0.0 0.0 μB per formula unit